Arrangement 1

MnCr3Cd (GGA-PBE, optimized geometry); total magnetic moment = 1.6719 μB per atom
1.0
5.028 0.000 0.000
0.000 5.028 0.000
0.000 0.000 5.028
Mn Cr Cd
1 3 1
direct
0.000 0.000 0.000
0.000 0.500 0.500
0.500 0.000 0.500
0.500 0.500 0.000
0.500 0.500 0.500

Arrangement 2

MnCr3Cd (GGA-PBE, optimized geometry); total magnetic moment = 0.0012 μB per atom
1.0
4.257 0.000 0.000
0.000 4.257 0.000
0.000 0.000 4.257
Mn Cr Cd
1 3 1
direct
0.000 0.000 0.000
0.000 0.000 0.500
0.000 0.500 0.000
0.500 0.000 0.000
0.500 0.500 0.500

The computed energies, referenced to the most stable structure and given in eV/atom, are arrangement 1 0.667; arrangement 2 0.000.

Arrangement 1

Cr3CdMo (GGA-PBE, optimized geometry); total magnetic moment = 1.6428 μB per atom
1.0
4.691 0.000 0.000
0.000 4.691 0.000
0.000 0.000 4.691
Cr Cd Mo
3 1 1
direct
0.000 0.000 0.500
0.000 0.500 0.000
0.500 0.000 0.000
0.500 0.500 0.500
0.000 0.000 0.000

Arrangement 2

Cr3CdMo (GGA-PBE, optimized geometry); total magnetic moment = 1.6896 μB per atom
1.0
4.922 0.000 0.000
0.000 4.922 0.000
0.000 0.000 4.922
Cr Cd Mo
3 1 1
direct
0.000 0.000 0.500
0.000 0.500 0.000
0.500 0.000 0.000
0.000 0.000 0.000
0.500 0.500 0.500

The computed energies, referenced to the most stable structure and given in eV/atom, are arrangement 1 0.000; arrangement 2 0.745.

Arrangement 1

Cr2CdN (GGA-PBE, optimized geometry); total magnetic moment = 1.2623 μB per atom
1.0
-3.043 3.043 3.321
3.043 -3.043 3.321
3.043 3.043 -3.321
Cr Cd N
4 2 2
direct
0.375 0.242 0.367
0.758 0.125 0.133
0.875 0.008 0.633
0.992 0.625 0.867
0.250 0.750 0.500
0.500 0.500 0.000
0.000 0.000 0.000
0.750 0.250 0.500

Arrangement 2

Cr2CdN (GGA-PBE, optimized geometry); total magnetic moment = 0.0000 μB per atom
1.0
0.000 2.932 2.932
2.932 0.000 2.932
2.932 2.932 0.000
Cr Cd N
2 1 1
direct
0.250 0.250 0.250
0.750 0.750 0.750
0.000 0.000 0.000
0.500 0.500 0.500

The computed energies, referenced to the most stable structure and given in eV/atom, are arrangement 1 0.000; arrangement 2 1.404.

Arrangement 1

CrCdSN2 (GGA-PBE, optimized geometry); total magnetic moment = 0.1542 μB per atom
1.0
4.165 0.000 0.000
0.000 4.165 0.000
0.000 0.000 5.332
Cr Cd S N
1 1 1 2
direct
0.000 0.000 0.000
0.500 0.500 0.500
0.500 0.500 0.000
0.000 0.500 0.500
0.500 0.000 0.500

Arrangement 2

CrCdSN2 (GGA-PBE, optimized geometry); total magnetic moment = 0.1224 μB per atom
1.0
3.699 0.000 0.000
0.000 3.699 0.000
0.000 0.000 5.201
Cr Cd S N
1 1 1 2
direct
0.000 0.000 0.000
0.500 0.500 0.500
0.000 0.000 0.500
0.000 0.500 0.000
0.500 0.000 0.000

The computed energies, referenced to the most stable structure and given in eV/atom, are arrangement 1 1.419; arrangement 2 0.000.

Arrangement 1

CrCdTeN2 (GGA-PBE, optimized geometry); total magnetic moment = 0.0217 μB per atom
1.0
3.882 0.000 0.000
0.000 3.882 0.000
0.000 0.000 5.711
Cr Cd Te N
1 1 1 2
direct
0.000 0.000 0.000
0.500 0.500 0.500
0.000 0.000 0.500
0.000 0.500 0.000
0.500 0.000 0.000

Arrangement 2

CrCdTeN2 (GGA-PBE, optimized geometry); total magnetic moment = 1.5479 μB per atom
1.0
4.219 0.000 0.000
0.000 4.219 0.000
0.000 0.000 6.547
Cr Cd Te N
1 1 1 2
direct
0.000 0.000 0.000
0.500 0.500 0.500
0.500 0.500 0.000
0.000 0.500 0.500
0.500 0.000 0.500

The computed energies, referenced to the most stable structure and given in eV/atom, are arrangement 1 0.000; arrangement 2 1.216.

Arrangement 1

Na2CrCd (GGA-PBE, optimized geometry); total magnetic moment = 1.2115 μB per atom
1.0
0.000 3.692 3.692
3.692 0.000 3.692
3.692 3.692 0.000
Na Cr Cd
2 1 1
direct
0.250 0.250 0.250
0.750 0.750 0.750
0.000 0.000 0.000
0.500 0.500 0.500

Arrangement 2

Na2CrCd (GGA-PBE, optimized geometry); total magnetic moment = 1.1986 μB per atom
1.0
-4.263 4.263 2.931
4.263 -4.263 2.931
4.263 4.263 -2.931
Na Cr Cd
4 2 2
direct
0.121 0.625 0.996
0.375 0.371 0.496
0.629 0.125 0.004
0.875 0.879 0.504
0.250 0.750 0.500
0.500 0.500 0.000
0.000 0.000 0.000
0.750 0.250 0.500

The computed energies, referenced to the most stable structure and given in eV/atom, are arrangement 1 0.000; arrangement 2 0.060.

Arrangement 1

NaCrCd2 (GGA-PBE, optimized geometry); total magnetic moment = 1.0809 μB per atom
1.0
0.000 3.498 3.498
3.498 0.000 3.498
3.498 3.498 0.000
Na Cr Cd
1 1 2
direct
0.000 0.000 0.000
0.500 0.500 0.500
0.250 0.250 0.250
0.750 0.750 0.750

Arrangement 2

NaCrCd2 (GGA-PBE, optimized geometry); total magnetic moment = 1.1509 μB per atom
1.0
-2.199 2.199 10.291
2.199 -2.199 10.291
2.199 2.199 -10.291
Na Cr Cd
2 2 4
direct
0.000 0.000 0.000
0.750 0.250 0.500
0.250 0.750 0.500
0.500 0.500 0.000
0.146 0.625 0.021
0.375 0.396 0.521
0.604 0.125 0.979
0.875 0.854 0.479

The computed energies, referenced to the most stable structure and given in eV/atom, are arrangement 1 0.000; arrangement 2 0.248.

Arrangement 1

Na2CrCdNi (GGA-PBE, optimized geometry); total magnetic moment = 0.8873 μB per atom
1.0
5.629 0.000 0.000
0.000 5.629 0.000
0.000 0.000 4.471
Na Cr Cd Ni
2 1 1 1
direct
0.000 0.500 0.000
0.500 0.000 0.000
0.000 0.000 0.000
0.500 0.500 0.500
0.000 0.000 0.500

Arrangement 2

Na2CrCdNi (GGA-PBE, optimized geometry); total magnetic moment = 0.9611 μB per atom
1.0
5.379 0.000 0.000
0.000 5.379 0.000
0.000 0.000 5.245
Na Cr Cd Ni
2 1 1 1
direct
0.000 0.500 0.000
0.500 0.000 0.000
0.000 0.000 0.500
0.000 0.000 0.000
0.500 0.500 0.500

The computed energies, referenced to the most stable structure and given in eV/atom, are arrangement 1 0.000; arrangement 2 0.316.